Record 1
# Ga2IrPd2

An optimized crystal structure of Ga2IrPd2 (PBE-GGA, Alexandria via LeMat-Bulk).

a = 2.987 Å, b = 3.005 Å, c = 8.604 Å
α = 79.94°, β = 90.00°, γ = 90.00°
Sites, in units of the cell vectors:
1 Ga 0.500 0.406 0.189
2 Pd 0.000 0.820 0.361
3 Ir 0.000 0.000 0.000
4 Ga 0.500 0.594 0.811
5 Pd 0.000 0.180 0.639

Distance to the lowest polymorph of the same formula in eV per formula unit: 0.00
DOS at the Fermi energy in states/eV per atom: 0.28
Size of the total moment in μB/cell: 0.00
DFT formation energy in eV/f.u.: -2.228

Record 2
# Ag2RuRh

An optimized crystal structure of Ag2RuRh (PBE-GGA, Alexandria via LeMat-Bulk).

a = 2.739 Å, b = 2.739 Å, c = 9.780 Å
α = 90.00°, β = 90.00°, γ = 118.70°
Last column: magnetic moment on the atom in μB.
Sites, in units of the cell vectors:
1 Rh 0.500 0.500 0.250  0.50
2 Ag 0.000 0.000 0.001  0.02
3 Ru 0.500 0.500 0.750  0.95
4 Ag 0.000 0.000 0.499  0.02

Distance to the lowest polymorph of the same formula in eV per formula unit: 1.04
DOS at the Fermi energy in states/eV per atom: 1.16
Size of the total moment in μB/cell: 1.53
DFT formation energy in eV/f.u.: 1.877

Record 3
# Pm2PuBi

An optimized crystal structure of Pm2PuBi (PBE-GGA, Alexandria via LeMat-Bulk).

a = 5.543 Å, b = 5.543 Å, c = 5.543 Å
α = 60.00°, β = 60.00°, γ = 60.00°
Last column: magnetic moment on the atom in μB.
Sites, in units of the cell vectors:
1 Bi 0.500 0.500 0.500  -0.07
2 Pm 0.250 0.250 0.250  0.12
3 Pu 0.000 0.000 0.000  5.68
4 Pm 0.750 0.750 0.750  0.12

Distance to the lowest polymorph of the same formula in eV per formula unit: 0.71
DOS at the Fermi energy in states/eV per atom: 4.74
Size of the total moment in μB/cell: 6.34
DFT formation energy in eV/f.u.: -0.542

Record 4
# MnAg2S4

An optimized crystal structure of MnAg2S4 (PBE-GGA, Alexandria via LeMat-Bulk).

a = 4.865 Å, b = 4.865 Å, c = 6.955 Å
α = 69.53°, β = 69.53°, γ = 90.00°
Last column: magnetic moment on the atom in μB.
Sites, in units of the cell vectors:
1 Ag 0.617 0.617 0.766  -0.07
2 S 0.500 0.000 0.000  -0.21
3 Ag 0.383 0.383 0.234  -0.07
4 S 0.817 0.817 0.366  -0.41
5 S 0.183 0.183 0.634  -0.41
6 S 0.000 0.500 0.000  -0.21
7 Mn 0.000 0.000 0.000  3.13

DOS at the Fermi energy in states/eV per atom: 0.69
Formation energy from raw total energies in eV/atom: 0.217
Size of the total moment in μB/cell: 1.34

Record 5
# ErZr2Te6

An optimized crystal structure of ErZr2Te6 (PBE-GGA, Alexandria via LeMat-Bulk).

a = 7.078 Å, b = 7.078 Å, c = 12.488 Å
α = 90.00°, β = 90.00°, γ = 90.00°
Sites, in units of the cell vectors:
1 Te 0.207 0.793 0.674
2 Te 0.301 0.301 0.500
3 Zr 0.500 0.500 0.666
4 Te 0.793 0.207 0.326
5 Te 0.293 0.293 0.826
6 Zr 0.000 0.000 0.166
7 Zr 0.000 0.000 0.834
8 Te 0.793 0.207 0.674
9 Te 0.699 0.699 0.500
10 Er 0.500 0.500 0.000
11 Te 0.801 0.199 0.000
12 Te 0.207 0.793 0.326
13 Er 0.000 0.000 0.500
14 Te 0.293 0.293 0.174
15 Zr 0.500 0.500 0.334
16 Te 0.707 0.707 0.174
17 Te 0.707 0.707 0.826
18 Te 0.199 0.801 0.000

DOS at the Fermi energy in states/eV per atom: 0.59
Formation energy from raw total energies in eV/atom: -0.802
Size of the total moment in μB/cell: 0.00

Record 6
# Cd2SnS

An optimized crystal structure of Cd2SnS (PBE-GGA, Alexandria via LeMat-Bulk).

a = 6.710 Å, b = 6.710 Å, c = 7.161 Å
α = 62.06°, β = 62.06°, γ = 90.00°
Sites, in units of the cell vectors:
1 Cd 0.162 0.625 0.250
2 Sn 0.750 0.250 0.500
3 Cd 0.375 0.412 0.750
4 Cd 0.588 0.125 0.250
5 S 0.250 0.750 0.500
6 Sn 0.000 0.000 0.000
7 Cd 0.875 0.838 0.750
8 S 0.500 0.500 0.000

Distance to the lowest polymorph of the same formula in eV per formula unit: 0.00
DOS at the Fermi energy in states/eV per atom: 0.12
Formation energy from raw total energies in eV/atom: -0.068
Size of the total moment in μB/cell: 0.00

Record 7
# Hf2ScHgO

An optimized crystal structure of Hf2ScHgO (PBE-GGA, Alexandria via LeMat-Bulk).

a = 4.417 Å, b = 4.417 Å, c = 4.478 Å
α = 90.00°, β = 90.00°, γ = 90.00°
Sites, in units of the cell vectors:
1 O 0.000 0.000 0.000
2 Hg 0.500 0.500 0.500
3 Hf 0.000 0.500 0.000
4 Hf 0.500 0.000 0.000
5 Sc 0.000 0.000 0.500

DOS at the Fermi energy in states/eV per atom: 0.76
Formation energy from raw total energies in eV/atom: -1.104
Size of the total moment in μB/cell: 0.00

Record 8
# Co2Rh2Au

An optimized crystal structure of Co2Rh2Au (PBE-GGA, Alexandria via LeMat-Bulk).

a = 7.200 Å, b = 7.200 Å, c = 2.730 Å
α = 90.00°, β = 90.00°, γ = 90.00°
Last column: magnetic moment on the atom in μB.
Sites, in units of the cell vectors:
1 Rh 0.171 0.671 0.500  0.84
2 Au 0.000 0.000 0.000  0.03
3 Co 0.121 0.379 0.000  1.88
4 Rh 0.329 0.171 0.500  0.83
5 Au 0.500 0.500 0.000  0.03
6 Co 0.379 0.879 0.000  1.87
7 Co 0.879 0.621 0.000  1.88
8 Rh 0.671 0.829 0.500  0.83
9 Rh 0.829 0.329 0.500  0.84
10 Co 0.621 0.121 0.000  1.87

Distance to the lowest polymorph of the same formula in eV per formula unit: 0.00
DOS at the Fermi energy in states/eV per atom: 0.96
Size of the total moment in μB/cell: 10.78
DFT formation energy in eV/f.u.: 0.851

Record 9
# Ta3C

An optimized crystal structure of Ta3C (PBE-GGA, Alexandria via LeMat-Bulk).

a = 4.431 Å, b = 4.431 Å, c = 4.431 Å
α = 60.00°, β = 60.00°, γ = 60.00°
Sites, in units of the cell vectors:
1 Ta 0.750 0.750 0.750
2 C 0.000 0.000 0.000
3 Ta 0.500 0.500 0.500
4 Ta 0.250 0.250 0.250

Distance to the lowest polymorph of the same formula in eV per formula unit: 6.26
DOS at the Fermi energy in states/eV per atom: 1.07
Size of the total moment in μB/cell: 0.00
DFT formation energy in eV/f.u.: 4.811

Record 10
# TaGeAu

An optimized crystal structure of TaGeAu (PBE-GGA, Alexandria via LeMat-Bulk).

a = 3.298 Å, b = 9.419 Å, c = 3.292 Å
α = 90.00°, β = 90.00°, γ = 90.00°
Sites, in units of the cell vectors:
1 Au 0.000 0.589 0.500
2 Ta 0.000 0.228 0.500
3 Ge 0.500 0.074 0.000
4 Au 0.500 0.411 0.000
5 Ta 0.500 0.772 0.000
6 Ge 0.000 0.926 0.500

DOS at the Fermi energy in states/eV per atom: 0.59
Size of the total moment in μB/cell: 0.00
DFT formation energy in eV/f.u.: -0.155

Record 11
# Ho6CoHg3

An optimized crystal structure of Ho6CoHg3 (PBE-GGA, Alexandria via LeMat-Bulk).

a = 6.369 Å, b = 8.323 Å, c = 10.365 Å
α = 90.00°, β = 88.86°, γ = 90.00°
Sites, in units of the cell vectors:
1 Hg 0.500 0.500 0.000
2 Ho 0.351 0.555 0.729
3 Hg 0.000 0.000 0.500
4 Hg 0.576 0.887 0.731
5 Hg 0.424 0.113 0.269
6 Hg 0.924 0.387 0.769
7 Ho 0.649 0.445 0.271
8 Co 0.000 0.000 0.000
9 Ho 0.150 0.348 0.440
10 Ho 0.379 0.791 0.433
11 Hg 0.076 0.613 0.231
12 Ho 0.621 0.209 0.567
13 Ho 0.879 0.709 0.933
14 Ho 0.650 0.152 0.940
15 Ho 0.121 0.291 0.067
16 Ho 0.851 0.945 0.229
17 Co 0.500 0.500 0.500
18 Ho 0.149 0.055 0.771
19 Ho 0.850 0.652 0.560
20 Ho 0.350 0.848 0.060

DOS at the Fermi energy in states/eV per atom: 1.10
Size of the total moment in μB/cell: 0.00
DFT formation energy in eV/f.u.: -2.669

Record 12
# ZrCu3Pd6

An optimized crystal structure of ZrCu3Pd6 (PBE-GGA, Alexandria via LeMat-Bulk).

a = 4.195 Å, b = 8.005 Å, c = 9.109 Å
α = 99.66°, β = 90.00°, γ = 90.00°
Sites, in units of the cell vectors:
1 Pd 0.750 0.940 0.088
2 Cu 0.250 0.744 0.986
3 Zr 0.250 0.931 0.621
4 Pd 0.750 0.538 0.896
5 Pd 0.250 0.160 0.215
6 Pd 0.750 0.738 0.476
7 Pd 0.250 0.462 0.104
8 Cu 0.250 0.548 0.401
9 Pd 0.250 0.060 0.912
10 Pd 0.750 0.382 0.306
11 Pd 0.250 0.618 0.694
12 Cu 0.250 0.346 0.820
13 Pd 0.750 0.164 0.708
14 Pd 0.250 0.836 0.292
15 Cu 0.750 0.256 0.014
16 Cu 0.750 0.654 0.180
17 Zr 0.750 0.069 0.379
18 Cu 0.750 0.452 0.599
19 Pd 0.250 0.262 0.524
20 Pd 0.750 0.840 0.785

Distance to the lowest polymorph of the same formula in eV per formula unit: 0.00
DOS at the Fermi energy in states/eV per atom: 0.36
Size of the total moment in μB/cell: 0.00
DFT formation energy in eV/f.u.: -3.343

Record 13
# PaVW

An optimized crystal structure of PaVW (PBE-GGA, Alexandria via LeMat-Bulk).

a = 4.758 Å, b = 2.805 Å, c = 8.197 Å
α = 80.15°, β = 90.00°, γ = 90.00°
Sites, in units of the cell vectors:
1 W 0.250 0.140 0.719
2 W 0.750 0.860 0.281
3 V 0.250 0.292 0.417
4 Pa 0.250 0.453 0.094
5 Pa 0.750 0.547 0.906
6 V 0.750 0.708 0.583

Distance to the lowest polymorph of the same formula in eV per formula unit: 0.09
DOS at the Fermi energy in states/eV per atom: 1.05
Size of the total moment in μB/cell: 0.00
DFT formation energy in eV/f.u.: 0.852

Record 14
# Os2C

An optimized crystal structure of Os2C (PBE-GGA, Alexandria via LeMat-Bulk).

a = 5.169 Å, b = 5.169 Å, c = 5.108 Å
α = 85.46°, β = 85.46°, γ = 31.49°
Sites, in units of the cell vectors:
1 Os 0.312 0.312 0.348
2 Os 0.416 0.416 0.828
3 Os 0.045 0.045 0.414
4 C 0.016 0.016 0.030
5 C 0.695 0.695 0.570
6 Os 0.683 0.683 0.977

Distance to the lowest polymorph of the same formula in eV per formula unit: 0.29
DOS at the Fermi energy in states/eV per atom: 0.30
Size of the total moment in μB/cell: 0.00
DFT formation energy in eV/f.u.: 1.800

Record 15
# LaRuPt

An optimized crystal structure of LaRuPt (PBE-GGA, Alexandria via LeMat-Bulk).

a = 4.520 Å, b = 4.520 Å, c = 8.096 Å
α = 90.00°, β = 90.00°, γ = 120.00°
Sites, in units of the cell vectors:
1 Pt 0.000 0.000 0.000
2 Pt 0.000 0.000 0.500
3 Ru 0.333 0.667 0.034
4 Ru 0.667 0.333 0.966
5 La 0.667 0.333 0.295
6 La 0.333 0.667 0.705

DOS at the Fermi energy in states/eV per atom: 0.81
Size of the total moment in μB/cell: 0.00
DFT formation energy in eV/f.u.: -1.422

Record 16
# CaNdSbTe

An optimized crystal structure of CaNdSbTe (PBE-GGA, Alexandria via LeMat-Bulk).

a = 4.543 Å, b = 4.543 Å, c = 7.876 Å
α = 73.24°, β = 73.24°, γ = 60.00°
Sites, in units of the cell vectors:
1 Ca 0.503 0.503 0.491
2 Te 0.750 0.750 0.749
3 Sb 0.251 0.251 0.247
4 Nd 0.995 0.995 0.014

DOS at the Fermi energy in states/eV per atom: 0.02
Formation energy from raw total energies in eV/atom: -1.345
Size of the total moment in μB/cell: 0.00

Record 17
# Hf2ScV

An optimized crystal structure of Hf2ScV (PBE-GGA, Alexandria via LeMat-Bulk).

a = 3.327 Å, b = 3.327 Å, c = 7.440 Å
α = 90.00°, β = 90.00°, γ = 90.00°
Sites, in units of the cell vectors:
1 Sc 0.500 0.500 0.500
2 V 0.500 0.500 0.000
3 Hf 0.000 0.000 0.207
4 Hf 0.000 0.000 0.793

Distance to the lowest polymorph of the same formula in eV per formula unit: 0.00
DOS at the Fermi energy in states/eV per atom: 2.09
Size of the total moment in μB/cell: 0.01
DFT formation energy in eV/f.u.: 0.614

Record 18
# La6ErTm5

An optimized crystal structure of La6ErTm5 (PBE-GGA, Alexandria via LeMat-Bulk).

a = 5.242 Å, b = 11.055 Å, c = 9.614 Å
α = 54.90°, β = 74.20°, γ = 61.74°
Sites, in units of the cell vectors:
1 La 0.250 0.583 0.333
2 La 0.750 0.084 0.333
3 Tm 0.500 0.500 0.000
4 Tm 0.500 0.166 0.667
5 Tm 0.000 0.667 0.666
6 Tm 0.000 0.333 0.334
7 La 0.751 0.749 0.000
8 Tm 0.500 0.834 0.333
9 Er 0.000 0.000 0.000
10 La 0.750 0.417 0.667
11 La 0.249 0.251 0.000
12 La 0.250 0.916 0.667

DOS at the Fermi energy in states/eV per atom: 1.36
Size of the total moment in μB/cell: 0.00
DFT formation energy in eV/f.u.: 0.294

Record 19
# Cd4SnHg7

An optimized crystal structure of Cd4SnHg7 (PBE-GGA, Alexandria via LeMat-Bulk).

a = 4.702 Å, b = 4.702 Å, c = 16.336 Å
α = 90.00°, β = 90.00°, γ = 120.00°
Sites, in units of the cell vectors:
1 Sn 0.000 0.000 0.500
2 Hg 0.333 0.667 0.164
3 Hg 0.000 0.000 0.747
4 Hg 0.667 0.333 0.836
5 Hg 0.333 0.667 0.413
6 Hg 0.000 0.000 0.000
7 Hg 0.000 0.000 0.253
8 Hg 0.667 0.333 0.587
9 Cd 0.333 0.667 0.918
10 Cd 0.667 0.333 0.082
11 Cd 0.667 0.333 0.333
12 Cd 0.333 0.667 0.667

Distance to the lowest polymorph of the same formula in eV per formula unit: 0.17
DOS at the Fermi energy in states/eV per atom: 0.44
Size of the total moment in μB/cell: 0.00
DFT formation energy in eV/f.u.: 0.576

Record 20
# LaSm2Pu

An optimized crystal structure of LaSm2Pu (PBE-GGA, Alexandria via LeMat-Bulk).

a = 3.590 Å, b = 3.590 Å, c = 10.235 Å
α = 90.00°, β = 90.00°, γ = 90.00°
Last column: magnetic moment on the atom in μB.
Sites, in units of the cell vectors:
1 Sm 0.000 0.000 0.264  -0.07
2 Pu 0.500 0.500 0.500  -5.61
3 Sm 0.000 0.000 0.736  -0.07
4 La 0.500 0.500 0.000  0.03

Distance to the lowest polymorph of the same formula in eV per formula unit: 0.00
DOS at the Fermi energy in states/eV per atom: 2.59
Size of the total moment in μB/cell: 6.35
DFT formation energy in eV/f.u.: 0.474

Record 21
# ScBe2Nb

An optimized crystal structure of ScBe2Nb (PBE-GGA, Alexandria via LeMat-Bulk).

a = 6.927 Å, b = 6.927 Å, c = 5.512 Å
α = 51.07°, β = 51.07°, γ = 90.00°
Sites, in units of the cell vectors:
1 Be 0.375 0.362 0.750
2 Sc 0.500 0.500 0.000
3 Be 0.875 0.888 0.750
4 Nb 0.750 0.250 0.500
5 Nb 0.000 0.000 0.000
6 Be 0.638 0.125 0.250
7 Be 0.112 0.625 0.250
8 Sc 0.250 0.750 0.500

Distance to the lowest polymorph of the same formula in eV per formula unit: 2.01
DOS at the Fermi energy in states/eV per atom: 0.94
Size of the total moment in μB/cell: 0.00
DFT formation energy in eV/f.u.: 1.866

Record 22
# Ce4Sn2Bi

An optimized crystal structure of Ce4Sn2Bi (PBE-GGA, Alexandria via LeMat-Bulk).

a = 8.280 Å, b = 8.280 Å, c = 8.280 Å
α = 70.78°, β = 70.40°, γ = 109.60°
Last column: magnetic moment on the atom in μB.
Sites, in units of the cell vectors:
1 Bi 0.500 0.250 0.250  -0.05
2 Ce 0.251 0.868 0.729  0.97
3 Sn 0.122 0.497 0.125  -0.05
4 Ce 0.751 0.521 0.382  0.97
5 Ce 0.249 0.867 0.230  0.97
6 Sn 0.878 0.753 0.625  -0.05
7 Bi 0.000 0.000 0.000  -0.05
8 Ce 0.749 0.020 0.383  0.97
9 Sn 0.378 0.625 0.497  -0.05
10 Ce 0.597 0.729 0.020  0.97
11 Sn 0.622 0.125 0.753  -0.05
12 Ce 0.097 0.230 0.521  0.97
13 Ce 0.403 0.383 0.868  0.97
14 Ce 0.903 0.382 0.867  0.97

DOS at the Fermi energy in states/eV per atom: 3.66
Size of the total moment in μB/cell: 10.01
DFT formation energy in eV/f.u.: -4.199

Record 23
# Zn2CuAu

An optimized crystal structure of Zn2CuAu (PBE-GGA, Alexandria via LeMat-Bulk).

a = 4.379 Å, b = 4.379 Å, c = 4.379 Å
α = 60.00°, β = 60.00°, γ = 60.00°
Sites, in units of the cell vectors:
1 Cu 0.750 0.750 0.750
2 Au 0.500 0.500 0.500
3 Zn 0.000 0.000 0.000
4 Zn 0.250 0.250 0.250

DOS at the Fermi energy in states/eV per atom: 0.24
Size of the total moment in μB/cell: 0.00
DFT formation energy in eV/f.u.: -0.405

Record 24
# La3Tb4TmSe8

An optimized crystal structure of La3Tb4TmSe8 (PBE-GGA, Alexandria via LeMat-Bulk).

a = 8.337 Å, b = 8.346 Å, c = 8.335 Å
α = 119.95°, β = 120.00°, γ = 90.00°
Sites, in units of the cell vectors:
1 Tb 0.500 0.000 0.000
2 Tm 0.000 0.500 0.000
3 Se 0.753 0.242 0.989
4 Se 0.247 0.758 0.494
5 Se 0.756 0.767 0.511
6 La 0.500 0.500 0.000
7 Tb 0.500 0.000 0.500
8 Tb 0.000 0.000 0.500
9 Tb 0.000 0.000 0.000
10 Se 0.244 0.233 0.489
11 Se 0.236 0.242 0.989
12 La 0.000 0.500 0.500
13 Se 0.764 0.758 0.011
14 La 0.500 0.500 0.500
15 Se 0.247 0.758 0.011
16 Se 0.753 0.242 0.506

DOS at the Fermi energy in states/eV per atom: 0.64
Formation energy from raw total energies in eV/atom: -1.834
Size of the total moment in μB/cell: 0.00